A plane-wave DFT calculation with PBE with a Hubbard U was carried out for a relaxed CrPbO4F crystal.

Cell lengths 5.947, 5.947, 6.957 Å; angles 103.38, 103.38, 76.18 degrees
Element x y z (fractional)
Cr 0.149 0.149 0.273
Cr 0.851 0.851 0.727
Pb 0.294 0.294 0.861
Pb 0.706 0.706 0.139
O 0.000 0.364 0.144
O 0.000 0.636 0.856
O 0.025 0.025 0.718
O 0.261 0.261 0.506
O 0.364 0.000 0.144
O 0.636 0.000 0.856
O 0.739 0.739 0.494
O 0.975 0.975 0.282
F 0.470 0.470 0.168
F 0.530 0.530 0.832

Results
Crystal system: monoclinic
Symmetry: C2/m
Total magnetization (μB per formula unit): 0.0
E (eV/atom): -5.93

A plane-wave DFT calculation with PBE with a Hubbard U was carried out for a relaxed ZnCr6Si2Pb10O32F2 crystal.

Cell lengths 9.796, 10.089, 10.266 Å; angles 64.73, 71.10, 68.73 degrees
Element x y z (fractional)
Zn 0.000 0.000 0.000
Cr 0.241 0.840 0.490
Cr 0.262 0.166 0.007
Cr 0.455 0.355 0.214
Cr 0.545 0.645 0.786
Cr 0.738 0.834 0.993
Cr 0.759 0.160 0.510
Si 0.027 0.663 0.289
Si 0.973 0.337 0.711
Pb 0.129 0.257 0.334
Pb 0.160 0.655 0.936
Pb 0.257 0.466 0.578
Pb 0.321 0.034 0.705
Pb 0.355 0.760 0.179
Pb 0.645 0.240 0.821
Pb 0.679 0.966 0.295
Pb 0.743 0.534 0.422
Pb 0.840 0.345 0.064
Pb 0.871 0.743 0.666
O 0.005 0.491 0.704
O 0.073 0.772 0.115
O 0.112 0.284 0.077
O 0.134 0.259 0.621
O 0.135 0.945 0.368
O 0.148 0.723 0.640
O 0.172 0.625 0.360
O 0.211 0.035 0.982
O 0.291 0.957 0.530
O 0.308 0.422 0.135
O 0.349 0.263 0.844
O 0.377 0.076 0.121
O 0.391 0.727 0.416
O 0.393 0.737 0.882
O 0.409 0.234 0.380
O 0.500 0.495 0.224
O 0.500 0.505 0.776
O 0.591 0.766 0.620
O 0.607 0.263 0.118
O 0.609 0.273 0.584
O 0.623 0.924 0.879
O 0.651 0.737 0.156
O 0.692 0.578 0.865
O 0.709 0.043 0.470
O 0.789 0.965 0.018
O 0.828 0.375 0.640
O 0.852 0.277 0.360
O 0.865 0.055 0.632
O 0.866 0.741 0.379
O 0.888 0.716 0.923
O 0.927 0.228 0.885
O 0.995 0.509 0.296
F 0.112 0.931 0.819
F 0.888 0.069 0.181

Results
Crystal system: triclinic
Symmetry: P-1
Total magnetization (μB per formula unit): 0.0
E (eV/atom): -6.36